[1]
# NaTh5P6 | the Alexandria database | PBE | relaxed
# Crystal system: monoclinic
# E_form (eV/atom): -1.35
# Space group: C2/m
# N(E_F) (states/eV/f.u.): 5.9
data_NaTh5P6
_chemical_formula_sum 'Na1 Th5 P6'
_space_group_name_H-M_alt 'P 1'
_space_group_IT_number 1
_cell_length_a 7.189
_cell_length_b 7.189
_cell_length_c 7.181
_cell_angle_alpha 99.60
_cell_angle_beta 99.60
_cell_angle_gamma 119.86
loop_
_space_group_symop_operation_xyz
'x,y,z'
loop_
_atom_site_label
_atom_site_fract_x
_atom_site_fract_y
_atom_site_fract_z
Na1 0.000 0.000 0.000
Th1 0.163 0.837 0.500
Th2 0.333 0.667 0.000
Th3 0.500 0.500 0.500
Th4 0.667 0.333 0.000
Th5 0.837 0.163 0.500
P1 0.085 0.424 0.254
P2 0.255 0.255 0.750
P3 0.424 0.085 0.254
P4 0.576 0.915 0.746
P5 0.745 0.745 0.250
P6 0.915 0.576 0.746



[2]
# ScIn4Hg | the Alexandria database | PBE | relaxed
# Crystal system: cubic
# E_form (eV/atom): 0.07
# Space group: F-43m
# N(E_F) (states/eV/f.u.): 5.7
data_ScIn4Hg
_chemical_formula_sum 'Sc1 In4 Hg1'
_space_group_name_H-M_alt 'P 1'
_space_group_IT_number 1
_cell_length_a 6.042
_cell_length_b 6.042
_cell_length_c 6.042
_cell_angle_alpha 60.00
_cell_angle_beta 60.00
_cell_angle_gamma 60.00
loop_
_space_group_symop_operation_xyz
'x,y,z'
loop_
_atom_site_label
_atom_site_fract_x
_atom_site_fract_y
_atom_site_fract_z
Sc1 0.000 0.000 0.000
In1 0.375 0.375 0.375
In2 0.375 0.375 0.875
In3 0.375 0.875 0.375
In4 0.875 0.375 0.375
Hg1 0.750 0.750 0.750



[3]
# GeRuRh | the Alexandria database | PBE | relaxed
# Crystal system: monoclinic
# E_form (eV/atom): -0.19
# Space group: P2_1/m
# N(E_F) (states/eV/f.u.): 2.9
data_GeRuRh
_chemical_formula_sum 'Ge2 Ru2 Rh2'
_space_group_name_H-M_alt 'P 1'
_space_group_IT_number 1
_cell_length_a 4.411
_cell_length_b 2.917
_cell_length_c 6.816
_cell_angle_alpha 90.00
_cell_angle_beta 99.52
_cell_angle_gamma 90.00
loop_
_space_group_symop_operation_xyz
'x,y,z'
loop_
_atom_site_label
_atom_site_fract_x
_atom_site_fract_y
_atom_site_fract_z
Ge1 0.187 0.250 0.165
Ge2 0.813 0.750 0.835
Ru1 0.237 0.750 0.460
Ru2 0.763 0.250 0.540
Rh1 0.314 0.250 0.825
Rh2 0.686 0.750 0.175



[4]
# TaSiCl2 | the Alexandria database | PBE | relaxed
# Crystal system: tetragonal
# Space group: P4mm
# Raw formation energy (eV/f.u.): -0.30
# N(E_F) (states/eV/f.u.): 1.4
data_TaSiCl2
_chemical_formula_sum 'Ta1 Si1 Cl2'
_space_group_name_H-M_alt 'P 1'
_space_group_IT_number 1
_cell_length_a 3.007
_cell_length_b 3.007
_cell_length_c 8.578
_cell_angle_alpha 90.00
_cell_angle_beta 90.00
_cell_angle_gamma 90.00
loop_
_space_group_symop_operation_xyz
'x,y,z'
loop_
_atom_site_label
_atom_site_fract_x
_atom_site_fract_y
_atom_site_fract_z
Ta1 0.000 0.000 0.000
Si1 0.500 0.500 0.794
Cl1 0.000 0.000 0.594
Cl2 0.500 0.500 0.195



[5]
# RbSr4Eu | the Alexandria database | PBE | relaxed
# Crystal system: cubic
# E_form (eV/atom): 0.17
# Space group: F-43m
# N(E_F) (states/eV/f.u.): 5.6
data_RbSr4Eu
_chemical_formula_sum 'Rb1 Sr4 Eu1'
_space_group_name_H-M_alt 'P 1'
_space_group_IT_number 1
_cell_length_a 8.017
_cell_length_b 8.017
_cell_length_c 8.017
_cell_angle_alpha 60.00
_cell_angle_beta 60.00
_cell_angle_gamma 60.00
loop_
_space_group_symop_operation_xyz
'x,y,z'
loop_
_atom_site_label
_atom_site_fract_x
_atom_site_fract_y
_atom_site_fract_z
Rb1 0.000 0.000 0.000
Sr1 0.376 0.376 0.376
Sr2 0.376 0.376 0.873
Sr3 0.376 0.873 0.376
Sr4 0.873 0.376 0.376
Eu1 0.750 0.750 0.750



[6]
# ScAg | the Alexandria database | PBE | relaxed
# Crystal system: cubic
# E_form (eV/atom): -0.15
# Space group: P2_13
# N(E_F) (states/eV/f.u.): 2.0
data_ScAg
_chemical_formula_sum 'Sc4 Ag4'
_space_group_name_H-M_alt 'P 1'
_space_group_IT_number 1
_cell_length_a 5.512
_cell_length_b 5.512
_cell_length_c 5.512
_cell_angle_alpha 90.00
_cell_angle_beta 90.00
_cell_angle_gamma 90.00
loop_
_space_group_symop_operation_xyz
'x,y,z'
loop_
_atom_site_label
_atom_site_fract_x
_atom_site_fract_y
_atom_site_fract_z
Sc1 0.082 0.082 0.082
Sc2 0.418 0.918 0.582
Sc3 0.582 0.418 0.918
Sc4 0.918 0.582 0.418
Ag1 0.088 0.588 0.912
Ag2 0.412 0.412 0.412
Ag3 0.588 0.912 0.088
Ag4 0.912 0.088 0.588



Number 1: M_tot 0.00 μB per formula unit. Number 2: M_tot 0.00 μB per formula unit. Number 3: M_tot 0.00 μB per formula unit. Number 4: M_tot 0.00 μB per formula unit. Number 5: M_tot 7.20 μB per formula unit. Number 6: M_tot 0.00 μB per formula unit.